5
Lattice="-0.087 2.084 -4.148 -2.726 -3.382 -1.642 -5.357 1.879 -1.542" Properties=species:S:1:pos:R:3 comment="PBE Zr2Pd2N, relaxed" formation_energy_uncorrected_ev_per_fu=3.907 de_polymorph_ev_per_atom=0.5225 pbc="T T T"
Zr -3.425 1.657 -4.293
Zr -4.745 -1.076 -3.039
Pd -2.388 -0.021 -2.559
Pd -5.782 0.602 -4.773
N 0.000 0.000 0.000

16
Lattice="-0.220 -7.463 3.242 6.866 -1.910 -3.931 0.507 6.993 5.915" Properties=species:S:1:pos:R:3 comment="PBE PrTm2Te5, relaxed" formation_energy_uncorrected_ev_per_fu=-9.495 pbc="T T T"
Pr 5.239 -3.533 2.440
Pr 1.915 1.153 2.785
Tm 2.365 -1.792 -0.884
Tm 0.892 -5.145 1.517
Tm 5.754 -4.228 -2.207
Tm 4.282 -7.580 0.194
Te 5.031 -0.196 3.113
Te 6.755 -5.845 0.443
Te 0.000 0.000 0.000
Te 3.323 -4.686 -0.345
Te 0.399 3.465 4.782
Te 1.557 -0.619 5.677
Te 3.873 3.888 2.218
Te 5.597 -1.761 -0.452
Te 3.281 -6.268 3.007
Te 2.123 -2.184 2.112

4
Lattice="-0.847 -0.816 3.393 -0.676 -3.407 0.912 10.622 -2.971 3.838" Properties=species:S:1:pos:R:3 comment="PBE LaTm2Th, relaxed" ef_ev_per_atom=0.019 de_polymorph_ev_per_atom=0.0084 pbc="T T T"
Tm 2.186 -1.786 2.017
Tm 6.913 -5.408 6.127
Th 0.000 0.000 0.000
La 4.550 -3.597 4.072

7
Lattice="-1.653 -1.522 3.261 2.875 -1.033 5.791 0.717 4.814 5.021" Properties=species:S:1:pos:R:3 comment="PBE Er2Tc2P2C, relaxed" ef_ev_per_atom=-0.665 pbc="T T T"
Er 2.215 1.676 11.536
Er -0.276 0.582 2.537
Tc 0.669 2.285 8.626
Tc 1.270 -0.026 5.448
P -0.082 0.340 7.337
P 2.021 1.919 6.736
C 0.000 0.000 0.000

5
Lattice="-4.056 2.768 0.005 -0.602 -0.891 4.791 2.661 3.898 1.060" Properties=species:S:1:pos:R:3 comment="PBE AlSbAs2Se, relaxed" formation_energy_uncorrected_ev_per_fu=1.699 de_polymorph_ev_per_atom=0.0000 pbc="T T T"
Sb -0.998 2.887 2.928
As -0.301 -0.446 2.395
As -2.028 1.384 0.003
Al 0.000 0.000 0.000
Se 1.330 1.949 0.530

8
Lattice="3.538 -3.533 -0.001 3.538 3.533 -0.001 0.013 0.000 5.000" Properties=species:S:1:pos:R:3 comment="PBE Nb3V3Ir2, relaxed" ef_ev_per_atom=-0.411 pbc="T T T"
Nb 2.654 0.892 3.762
Nb 4.435 0.892 1.236
Nb 3.545 -1.785 2.499
V 0.880 -0.870 3.769
V 2.670 2.663 1.230
V 3.538 -1.794 -0.001
Ir 1.744 0.000 1.229
Ir 5.346 0.000 3.768

5
Lattice="4.224 0.000 0.000 0.000 4.803 0.000 0.000 0.000 4.224" Properties=species:S:1:pos:R:3 comment="PBE ScMnV2Pt, relaxed" ef_ev_per_atom=0.404 pbc="T T T"
Sc 0.000 2.401 0.000
Mn 0.000 0.000 0.000
Pt 2.112 2.401 2.112
V 0.000 0.000 2.112
V 2.112 0.000 0.000

15
Lattice="-0.619 -1.997 -7.057 -5.774 -0.624 4.521 -2.607 8.454 -2.163" Properties=species:S:1:pos:R:3 comment="PBE Cs3PmCu2Cl9, relaxed" formation_energy_uncorrected_ev_per_fu=-23.603 pbc="T T T"
Cs -5.821 4.642 -0.803
Cs 0.000 0.000 0.000
Cs -3.180 1.192 -3.896
Pm -1.303 4.227 -1.082
Cu -4.399 0.030 0.377
Cu -4.602 5.804 -5.077
Cl -3.267 3.940 -6.516
Cl -6.049 3.639 -4.337
Cl -2.969 4.902 -3.115
Cl -6.032 0.932 -1.584
Cl -2.951 2.195 -0.362
Cl -5.733 1.894 1.817
Cl -0.310 -0.998 -3.529
Cl -2.887 -0.312 2.261
Cl -3.197 -1.310 -1.268

4
Lattice="-1.105 -2.853 1.873 0.417 -3.300 -1.344 10.664 -2.818 5.436" Properties=species:S:1:pos:R:3 comment="PBE Ac2TiIn, relaxed" ef_ev_per_atom=0.492 pbc="T T T"
Ac 7.815 -2.617 4.061
Ac 2.161 -6.353 1.904
Ti 0.000 0.000 0.000
In 4.988 -4.485 2.983

4
Lattice="4.603 0.000 0.000 0.000 4.603 0.000 0.000 0.000 5.096" Properties=species:S:1:pos:R:3 comment="PBE Ca2YW, relaxed" ef_ev_per_atom=0.811 de_polymorph_ev_per_atom=0.2138 pbc="T T T"
Y 0.000 2.302 2.548
Ca 0.000 0.000 0.000
Ca 2.302 2.302 0.000
W 2.302 0.000 2.548

18
Lattice="10.846 2.901 2.058 7.879 7.998 2.058 7.879 4.586 6.868" Properties=species:S:1:pos:R:3 comment="PBE La2Zn12Cu3Ir, relaxed" ef_ev_per_atom=-0.058 pbc="T T T"
La 17.118 9.964 7.068
La 9.486 5.522 3.916
Zn 14.209 8.271 7.451
Zn 19.873 11.568 6.332
Zn 18.336 12.440 8.824
Zn 15.510 7.532 5.343
Zn 19.873 9.801 8.824
Zn 14.209 9.766 5.343
Zn 12.395 7.215 3.533
Zn 6.731 3.918 4.652
Zn 8.268 3.045 2.160
Zn 11.095 7.954 5.641
Zn 6.731 5.685 2.160
Zn 12.395 5.719 5.641
Cu 5.423 1.451 1.029
Cu 3.940 3.999 1.029
Cu 3.940 2.293 3.434
Ir 0.000 0.000 0.000

4
Lattice="3.413 -1.632 -1.784 2.843 -1.977 2.345 0.427 -4.150 -0.288" Properties=species:S:1:pos:R:3 comment="PBE RbTaN2, relaxed" formation_energy_uncorrected_ev_per_fu=5.797 pbc="T T T"
N 1.671 -1.940 0.068
N 5.012 -5.819 0.205
Rb 0.000 0.000 0.000
Ta 3.341 -3.880 0.137

E_tot readings, ordered: -6.380, -4.866, -5.303, -7.794, -3.790, -9.822, -7.552, -3.715, -4.221, -5.044, -2.629, -5.918 eV/atom